# Pr4Ge2Br3, relaxed, DFT PBE
data_Pr4Ge2Br3
_cell_length_a 7.505
_cell_length_b 4.334
_cell_length_c 18.062
_cell_angle_alpha 90.00
_cell_angle_beta 90.36
_cell_angle_gamma 90.00
_space_group_name_H-M_alt 'C 1 2/m 1'
_space_group_IT_number 12
loop_
_space_group_symop_operation_xyz
'x,y,z'
'-x,-y,-z'
'-x,y,-z'
'x,-y,z'
'x+1/2,y+1/2,z'
'-x+1/2,-y+1/2,-z'
'-x+1/2,y+1/2,-z'
'x+1/2,-y+1/2,z'
loop_
_atom_site_label
_atom_site_fract_x
_atom_site_fract_y
_atom_site_fract_z
Pr1 0.005 0.000 0.297
Pr2 0.164 0.500 0.885
Ge1 0.170 0.500 0.202
Br1 0.000 0.000 0.000
Br2 0.160 0.500 0.604
# Formation energy from raw total energies in kcal/mol of atoms: -30.6
# DOS(E_F) in states/eV/f.u.: 2.9